No. 1
VASP calculation (PBE) on a relaxed structure of PmNiGe. Values from VASP.

Calculated values
Its formation energy is -0.478 eV per atom. As for the calculated total energy: -0.2031 hartree per atom. As for the energy above the most stable polymorph in this dataset: 0.249 eV per atom. For the magnetic moment, the calculation gives 0.0 μB per formula unit.

Geometry as Quantum ESPRESSO input:
```
&SYSTEM
  ibrav = 0, nat = 12, ntyp = 3
/
ATOMIC_SPECIES
Pm 145.00 Pm.upf
Ni 58.69 Ni.upf
Ge 72.64 Ge.upf
ATOMIC_POSITIONS angstrom
Pm 0.000 1.856 1.243
Pm 0.000 11.862 3.729
Pm 1.926 5.003 3.729
Pm 1.926 8.715 1.243
Ni 0.000 6.859 0.000
Ni 0.000 6.859 2.486
Ni 1.926 0.000 0.000
Ni 1.926 0.000 2.486
Ge 0.000 4.865 1.243
Ge 0.000 8.853 3.729
Ge 1.926 1.994 3.729
Ge 1.926 11.724 1.243
CELL_PARAMETERS angstrom
3.852 0.000 0.000
0.000 13.718 0.000
0.000 0.000 4.972
```

No. 2
VASP calculation (PBE) on a relaxed structure of PmNi3Ge3. Values from VASP.

Calculated values
Its formation energy is -0.209 eV per atom. As for the calculated total energy: -0.1964 hartree per atom. As for the energy above the most stable polymorph in this dataset: 0.106 eV per atom. For the magnetic moment, the calculation gives 0.0 μB per formula unit.

Geometry as Quantum ESPRESSO input:
```
&SYSTEM
  ibrav = 0, nat = 14, ntyp = 3
/
ATOMIC_SPECIES
Pm 145.00 Pm.upf
Ni 58.69 Ni.upf
Ge 72.64 Ge.upf
ATOMIC_POSITIONS angstrom
Pm 0.000 0.000 0.000
Pm 3.210 3.210 3.210
Ni 0.000 1.605 3.210
Ni 0.000 4.814 3.210
Ni 1.605 3.210 0.000
Ni 3.210 0.000 1.605
Ni 3.210 0.000 4.814
Ni 4.814 3.210 0.000
Ge 0.000 3.210 1.605
Ge 0.000 3.210 4.814
Ge 1.605 0.000 3.210
Ge 3.210 1.605 0.000
Ge 3.210 4.814 0.000
Ge 4.814 0.000 3.210
CELL_PARAMETERS angstrom
6.419 0.000 0.000
0.000 6.419 0.000
0.000 0.000 6.419
```

No. 3
VASP calculation (PBE) on a relaxed structure of PmNi4Ge12. Values from VASP.

Calculated values
Its formation energy is -0.210 eV per atom. As for the calculated total energy: -0.1878 hartree per atom. For the magnetic moment, the calculation gives 0.0 μB per formula unit.

Geometry as Quantum ESPRESSO input:
```
&SYSTEM
  ibrav = 0, nat = 17, ntyp = 3
/
ATOMIC_SPECIES
Pm 145.00 Pm.upf
Ni 58.69 Ni.upf
Ge 72.64 Ge.upf
ATOMIC_POSITIONS angstrom
Pm 0.000 0.000 0.000
Ni 2.105 2.105 -2.105
Ni 2.105 -2.105 2.105
Ni -2.105 2.105 2.105
Ni 2.105 2.105 2.105
Ge 2.925 1.366 0.000
Ge 5.493 1.366 0.000
Ge 4.209 -1.284 2.843
Ge 2.843 4.209 -1.284
Ge 1.366 0.000 2.925
Ge 4.209 1.284 2.843
Ge 0.000 2.925 1.366
Ge 2.843 4.209 1.284
Ge 1.366 0.000 5.493
Ge 0.000 5.493 1.366
Ge -1.284 2.843 4.209
Ge 1.284 2.843 4.209
CELL_PARAMETERS angstrom
-4.209 4.209 4.209
4.209 -4.209 4.209
4.209 4.209 -4.209
```

No. 4
VASP calculation (PBE) on a relaxed structure of Pm6NiGe2. Values from VASP.

Calculated values
Its formation energy is -0.352 eV per atom. As for the calculated total energy: -0.1906 hartree per atom. For the magnetic moment, the calculation gives 0.0 μB per formula unit.

Geometry as Quantum ESPRESSO input:
```
&SYSTEM
  ibrav = 0, nat = 9, ntyp = 3
/
ATOMIC_SPECIES
Pm 145.00 Pm.upf
Ni 58.69 Ni.upf
Ge 72.64 Ge.upf
ATOMIC_POSITIONS angstrom
Pm 2.523 1.736 -2.326
Pm 0.000 1.674 0.000
Pm 2.523 1.736 2.326
Pm 0.000 1.790 5.021
Pm 0.000 5.378 0.000
Pm 0.000 1.790 9.672
Ni 2.523 0.000 0.000
Ge 2.523 0.000 4.848
Ge 0.000 3.526 2.498
CELL_PARAMETERS angstrom
-2.523 3.526 7.346
2.523 -3.526 7.346
2.523 3.526 -7.346
```